Entry from the Open Quantum Materials Database: MgFe2Sn after structural relaxation (GGA-PBE).

Cell lengths 6.2905, 6.2905, 6.2905 Å; angles 90.00, 90.00, 90.00 degrees
Last column: magnetic moment on the atom in μB.
Fractional positions:
Fe 0.7575 0.2425 0.7575  2.15
Fe 0.2425 0.2425 0.7575  2.15
Fe 0.2425 0.7575 0.7575  2.15
Fe 0.2425 0.7575 0.2425  2.15
Fe 0.7575 0.7575 0.7575  2.16
Fe 0.7575 0.7575 0.2425  2.14
Fe 0.2425 0.2425 0.2425  2.16
Fe 0.7575 0.2425 0.2425  2.15
Sn 0.0000 0.5000 0.0000  -0.11
Sn 0.0000 0.0000 0.0000  -0.15
Sn 0.0000 0.0000 0.5000  -0.10
Sn 0.5000 0.0000 0.0000  -0.12
Mg 0.0000 0.5000 0.5000  -0.03
Mg 0.5000 0.0000 0.5000  -0.03
Mg 0.5000 0.5000 0.5000  -0.03
Mg 0.5000 0.5000 0.0000  -0.04

Properties
Total DFT energy (no corrections): -5.2823 eV/atom
Spin magnetization: 4.0 μB per formula unit